Density functional theory data (GGA-PBE) for crystalline Pm3SnGe2Rh9 at its relaxed geometry.

## Properties
The space group is P-3m1, No. 164. The crystal system is trigonal. The value obtained for the energy of formation is -262 meV/atom.

abc: 6.9231 6.9231 7.4123
angles: 90.00 90.00 120.00
Fractional positions:
1 Pm 0.0000 0.0000 0.0000
2 Pm 0.3333 0.6667 0.6813
3 Pm 0.6667 0.3333 0.3187
4 Sn 0.0000 0.0000 0.5000
5 Ge 0.3333 0.6667 0.1502
6 Ge 0.6667 0.3333 0.8498
7 Rh 0.0000 0.5000 0.0000
8 Rh 0.1924 0.3847 0.3677
9 Rh 0.1924 0.8076 0.3677
10 Rh 0.3847 0.1924 0.6323
11 Rh 0.5000 0.0000 0.0000
12 Rh 0.5000 0.5000 0.0000
13 Rh 0.6153 0.8076 0.3677
14 Rh 0.8076 0.1924 0.6323
15 Rh 0.8076 0.6153 0.6323



Density functional theory data (GGA-PBE) for crystalline SrPmGeRh at its relaxed geometry.

## Properties
The space group is F-43m, No. 216. The crystal system is cubic. The value obtained for the energy of formation is -408 meV/atom.

abc: 5.1631 5.1631 5.1631
angles: 60.00 60.00 60.00
Fractional positions:
1 Sr 0.0000 0.0000 0.0000
2 Pm 0.5000 0.5000 0.5000
3 Ge 0.2500 0.2500 0.2500
4 Rh 0.7500 0.7500 0.7500



Density functional theory data (GGA-PBE) for crystalline Pm2TaGe3Rh4 at its relaxed geometry.

## Properties
The space group is P-4m2, No. 115. The crystal system is tetragonal. The value obtained for the energy of formation is -811 meV/atom.

abc: 4.1945 4.1945 10.6249
angles: 90.00 90.00 90.00
Fractional positions:
1 Pm 0.0000 0.5000 0.2406
2 Pm 0.5000 0.0000 0.7594
3 Ta 0.0000 0.0000 0.5000
4 Ge 0.0000 0.5000 0.8727
5 Ge 0.5000 0.0000 0.1273
6 Ge 0.5000 0.5000 0.5000
7 Rh 0.0000 0.0000 0.0000
8 Rh 0.0000 0.5000 0.6390
9 Rh 0.5000 0.0000 0.3610
10 Rh 0.5000 0.5000 0.0000



Density functional theory data (GGA-PBE) for crystalline TbPmGeRh at its relaxed geometry.

## Properties
The space group is Amm2, No. 38. The energy above the lowest structure with this stoichiometry comes out at 0.0 meV per atom. The crystal system is orthorhombic. The value obtained for the energy of formation is -829 meV/atom.

abc: 4.1869 5.7277 5.7277
angles: 42.56 90.00 90.00
Fractional positions:
1 Tb 0.0000 0.0000 0.0000
2 Pm 0.5000 0.7195 0.7195
3 Ge 0.0000 0.2913 0.2913
4 Rh 0.5000 0.4434 0.4434



Density functional theory data (GGA-PBE) for crystalline TbPmGeRh at its relaxed geometry.

## Properties
The space group is F-43m, No. 216. The energy above the lowest structure with this stoichiometry comes out at 157.2 meV per atom. The crystal system is cubic. The value obtained for the energy of formation is -672 meV/atom.

abc: 5.0316 5.0316 5.0316
angles: 60.00 60.00 60.00
Fractional positions:
1 Tb 0.0000 0.0000 0.0000
2 Pm 0.5000 0.5000 0.5000
3 Ge 0.2500 0.2500 0.2500
4 Rh 0.7500 0.7500 0.7500



Density functional theory data (GGA-PBE) for crystalline Pm2TcGe6Rh at its relaxed geometry.

## Properties
The space group is R-3m, No. 166. The crystal system is trigonal. The value obtained for the energy of formation is -226 meV/atom.

abc: 10.2242 10.2242 10.2242
angles: 42.89 42.89 42.89
Fractional positions:
1 Pm 0.1368 0.1368 0.1368
2 Pm 0.2884 0.2884 0.2884
3 Pm 0.7116 0.7116 0.7116
4 Pm 0.8632 0.8632 0.8632
5 Tc 0.0000 0.0000 0.0000
6 Tc 0.5000 0.5000 0.5000
7 Ge 0.1290 0.6101 0.6101
8 Ge 0.2042 0.2042 0.7526
9 Ge 0.2042 0.7526 0.2042
10 Ge 0.2474 0.7958 0.7958
11 Ge 0.3899 0.3899 0.8710
12 Ge 0.3899 0.8710 0.3899
13 Ge 0.6101 0.1290 0.6101
14 Ge 0.6101 0.6101 0.1290
15 Ge 0.7526 0.2042 0.2042
16 Ge 0.7958 0.2474 0.7958
17 Ge 0.7958 0.7958 0.2474
18 Ge 0.8710 0.3899 0.3899
19 Rh 0.3923 0.3923 0.3923
20 Rh 0.6077 0.6077 0.6077



Density functional theory data (GGA-PBE) for crystalline Pm8Ge3Te4Rh at its relaxed geometry.

## Properties
The space group is R-3m, No. 166. The crystal system is trigonal. The calculation puts the uncorrected formation energy at -111.00 kJ per mole of atoms.

abc: 8.8425 8.8425 8.8425
angles: 58.56 58.56 58.56
Fractional positions:
1 Pm 0.2425 0.2425 0.2425
2 Pm 0.2430 0.7373 0.7373
3 Pm 0.2627 0.2627 0.7570
4 Pm 0.2627 0.7570 0.2627
5 Pm 0.7373 0.2430 0.7373
6 Pm 0.7373 0.7373 0.2430
7 Pm 0.7570 0.2627 0.2627
8 Pm 0.7575 0.7575 0.7575
9 Ge 0.0000 0.0000 0.5000
10 Ge 0.0000 0.5000 0.0000
11 Ge 0.5000 0.0000 0.0000
12 Te 0.0000 0.0000 0.0000
13 Te 0.0000 0.5000 0.5000
14 Te 0.5000 0.0000 0.5000
15 Te 0.5000 0.5000 0.0000
16 Rh 0.5000 0.5000 0.5000



Density functional theory data (GGA-PBE) for crystalline PmThGe2Rh5 at its relaxed geometry.

## Properties
The space group is P4/mmm, No. 123. The crystal system is tetragonal. The value obtained for the energy of formation is -748 meV/atom.

abc: 4.2648 4.2648 8.9343
angles: 90.00 90.00 90.00
Fractional positions:
1 Pm 0.0000 0.0000 0.0000
2 Th 0.0000 0.0000 0.5000
3 Ge 0.5000 0.5000 0.3560
4 Ge 0.5000 0.5000 0.6440
5 Rh 0.0000 0.5000 0.2325
6 Rh 0.0000 0.5000 0.7675
7 Rh 0.5000 0.0000 0.2325
8 Rh 0.5000 0.0000 0.7675
9 Rh 0.5000 0.5000 0.0000



Density functional theory data (GGA-PBE) for crystalline PmTh2Ge2Rh7 at its relaxed geometry.

## Properties
The space group is C2/m, No. 12. The crystal system is monoclinic. The value obtained for the energy of formation is -721 meV/atom.

abc: 4.1701 4.1701 13.0389
angles: 94.90 94.90 88.85
Fractional positions:
1 Pm 0.0000 0.0000 0.0000
2 Th 0.0793 0.0793 0.3487
3 Th 0.9207 0.9207 0.6513
4 Ge 0.4358 0.4358 0.7405
5 Ge 0.5642 0.5642 0.2595
6 Rh 0.0407 0.5415 0.1638
7 Rh 0.3261 0.3261 0.5542
8 Rh 0.4585 0.9593 0.8362
9 Rh 0.5000 0.5000 0.0000
10 Rh 0.5415 0.0407 0.1638
11 Rh 0.6739 0.6739 0.4458
12 Rh 0.9593 0.4585 0.8362



Density functional theory data (GGA-PBE) for crystalline Pm2ThGe3Rh4 at its relaxed geometry.

## Properties
The space group is P-4m2, No. 115. The crystal system is tetragonal. The value obtained for the energy of formation is -854 meV/atom.

abc: 4.2859 4.2859 11.0645
angles: 90.00 90.00 90.00
Fractional positions:
1 Pm 0.0000 0.5000 0.2190
2 Pm 0.5000 0.0000 0.7810
3 Th 0.0000 0.0000 0.5000
4 Ge 0.0000 0.5000 0.8788
5 Ge 0.5000 0.0000 0.1212
6 Ge 0.5000 0.5000 0.5000
7 Rh 0.0000 0.0000 0.0000
8 Rh 0.0000 0.5000 0.6565
9 Rh 0.5000 0.0000 0.3435
10 Rh 0.5000 0.5000 0.0000



Density functional theory data (GGA-PBE) for crystalline Pm2TiGe4Rh3 at its relaxed geometry.

## Properties
The space group is P-4m2, No. 115. The crystal system is tetragonal. The value obtained for the energy of formation is -800 meV/atom.

abc: 4.1912 4.1912 10.7164
angles: 90.00 90.00 90.00
Fractional positions:
1 Pm 0.0000 0.5000 0.2428
2 Pm 0.5000 0.0000 0.7572
3 Ti 0.0000 0.0000 0.5000
4 Ge 0.0000 0.0000 0.0000
5 Ge 0.0000 0.5000 0.6448
6 Ge 0.5000 0.0000 0.3552
7 Ge 0.5000 0.5000 0.0000
8 Rh 0.0000 0.5000 0.8765
9 Rh 0.5000 0.0000 0.1235
10 Rh 0.5000 0.5000 0.5000



Density functional theory data (GGA-PBE) for crystalline PmTlGe2Rh5 at its relaxed geometry.

## Properties
The space group is P4/mmm, No. 123. The crystal system is tetragonal. The value obtained for the energy of formation is -306 meV/atom.

abc: 4.2875 4.2875 8.7538
angles: 90.00 90.00 90.00
Fractional positions:
1 Pm 0.0000 0.0000 0.0000
2 Tl 0.0000 0.0000 0.5000
3 Ge 0.5000 0.5000 0.3580
4 Ge 0.5000 0.5000 0.6420
5 Rh 0.0000 0.5000 0.2340
6 Rh 0.0000 0.5000 0.7660
7 Rh 0.5000 0.0000 0.2340
8 Rh 0.5000 0.0000 0.7660
9 Rh 0.5000 0.5000 0.0000



Number 1: final energy -6.506 eV/atom, volume 20.5 Å³ per atom. Number 2: final energy -5.008 eV/atom, volume 24.3 Å³ per atom. Number 3: final energy -7.272 eV/atom, volume 18.7 Å³ per atom. Number 4: final energy -6.166 eV/atom, volume 23.2 Å³ per atom. Number 5: final energy -6.009 eV/atom, volume 22.5 Å³ per atom. Number 6: final energy -5.718 eV/atom, volume 22.4 Å³ per atom. Number 7: final energy -5.636 eV/atom, volume 29.5 Å³ per atom. Number 8: final energy -7.210 eV/atom, volume 18.1 Å³ per atom. Number 9: final energy -7.411 eV/atom, volume 18.8 Å³ per atom. Number 10: final energy -6.872 eV/atom, volume 20.3 Å³ per atom. Number 11: final energy -6.592 eV/atom, volume 18.8 Å³ per atom. Number 12: final energy -6.207 eV/atom, volume 17.9 Å³ per atom.